Entry 1:
Sb2Au: relaxed, GGA-PBEsol.

Output
Uncorrected energy = -4.42 eV/atom
Formation energy (no corrections) = -0.0751 eV/atom

Lattice parameters (Å, degrees): 4.1108 4.1108 4.9895 90.00 90.00 120.00
Closest atoms and distances in Å follow each position.
Atoms (fractional coordinates):
Sb 0.3333 0.6667 0.2859  3 Au 2.77
Sb 0.6667 0.3333 0.7141  3 Au 2.77
Au 0.0000 0.0000 0.0000  6 Sb 2.77

***

Entry 2:
BaHgGe: relaxed, GGA-PBEsol.

Output
Uncorrected energy = -3.11 eV/atom
Formation energy from the elements = -0.560 eV per atom

Lattice parameters (Å, degrees): 8.9463 8.9463 8.9463 153.05 147.49 42.72
Closest atoms and distances in Å follow each position.
Atoms (fractional coordinates):
Ba 0.3874 0.1374 0.2500  6 Ge 3.46-3.60, 6 Hg 3.63
Ba 0.6126 0.8626 0.7500  6 Ge 3.46-3.60, 6 Hg 3.63
Hg 0.2088 0.4588 0.7500  1 Ge 2.77, 2 Hg 2.86
Hg 0.7912 0.5412 0.2500  1 Ge 2.77, 2 Hg 2.86
Ge 0.0427 0.2927 0.7500  2 Ge 2.52, 1 Hg 2.77
Ge 0.9573 0.7073 0.2500  2 Ge 2.52, 1 Hg 2.77

***

Entry 3:
Te3Pb: relaxed, GGA-PBEsol.

Output
Uncorrected energy = -3.79 eV/atom
Formation energy (no corrections) = -0.1414 eV/atom

Lattice parameters (Å, degrees): 5.5171 5.5171 5.5171 109.47 109.47 109.47
Closest atoms and distances in Å follow each position.
Atoms (fractional coordinates):
Te 0.0000 0.5000 0.5000  2 Pb 3.19, 4 Te 3.19
Te 0.5000 0.0000 0.5000  2 Pb 3.19, 4 Te 3.19
Te 0.5000 0.5000 0.0000  2 Pb 3.19, 4 Te 3.19
Pb 0.0000 0.0000 0.0000  6 Te 3.19

***

Entry 4:
BiS2ClF: relaxed, GGA-PBEsol.

Output
Uncorrected energy = -3.04 eV/atom
Formation energy (no corrections) = 0.3544 eV/atom

Lattice parameters (Å, degrees): 5.3020 5.3020 5.2358 90.00 90.00 90.00
Closest atoms and distances in Å follow each position.
Atoms (fractional coordinates):
Bi 0.0000 0.0000 0.0000  2 Cl 2.62, 4 S 2.65
S 0.0000 0.5000 0.0000  2 Bi 2.65
S 0.5000 0.0000 0.0000  2 Bi 2.65
Cl 0.0000 0.0000 0.5000  2 Bi 2.62
F 0.5000 0.5000 0.5000  8 S 3.73, 4 Cl 3.75

***

Entry 5:
NiBr: relaxed, GGA-PBEsol.

Output
Uncorrected energy = -3.66 eV/atom
Formation energy (no corrections) = 0.3499 eV/atom

Lattice parameters (Å, degrees): 6.5952 3.4241 3.3714 90.00 90.00 90.00
Closest atoms and distances in Å follow each position.
Atoms (fractional coordinates):
Ni 0.2500 0.0000 0.1558  4 Br 2.38-2.42
Ni 0.7500 0.0000 0.8442  4 Br 2.38-2.42
Br 0.2500 0.5000 0.6638  4 Ni 2.38-2.42
Br 0.7500 0.5000 0.3362  4 Ni 2.38-2.42

***

Entry 6:
AlZnN2: relaxed, GGA-PBEsol.

Output
Uncorrected energy = -6.12 eV/atom
Formation energy (no corrections) = -0.4373 eV/atom

Lattice parameters (Å, degrees): 5.4676 5.4676 5.4676 131.80 131.80 70.55
Closest atoms and distances in Å follow each position.
Atoms (fractional coordinates):
Al 0.0000 0.0000 0.0000  4 N 1.88
Al 0.7500 0.2500 0.5000  4 N 1.88
Zn 0.2500 0.7500 0.5000  4 N 1.99
Zn 0.5000 0.5000 0.0000  4 N 1.99
N 0.1052 0.6250 0.9802  2 Al 1.88, 2 Zn 1.99
N 0.3750 0.3552 0.4802  2 Al 1.88, 2 Zn 1.99
N 0.6448 0.1250 0.0198  2 Al 1.88, 2 Zn 1.99
N 0.8750 0.8948 0.5198  2 Al 1.88, 2 Zn 1.99

***

Entry 7:
TaOsSe2N: relaxed, GGA-PBEsol.

Output
Uncorrected energy = -6.17 eV/atom
Formation energy (no corrections) = 2.0253 eV/atom

Lattice parameters (Å, degrees): 4.9615 4.9615 4.9399 90.00 90.00 90.00
Closest atoms and distances in Å follow each position.
Atoms (fractional coordinates):
Ta 0.0000 0.0000 0.0000  2 Os 2.47, 4 Se 2.48
Os 0.0000 0.0000 0.5000  2 Ta 2.47
Se 0.0000 0.5000 0.0000  2 Ta 2.48
Se 0.5000 0.0000 0.0000  2 Ta 2.48
N 0.5000 0.5000 0.5000  8 Se 3.50, 4 Os 3.51

***

Entry 8:
TlZnPb2: relaxed, GGA-PBEsol.

Output
Uncorrected energy = -2.97 eV/atom
Formation energy from the elements = 0.085 eV per atom

Lattice parameters (Å, degrees): 3.4128 3.4128 8.8643 90.00 90.00 90.00
Closest atoms and distances in Å follow each position.
Atoms (fractional coordinates):
Tl 0.0000 0.0000 0.0000  4 Tl 3.41, 8 Pb 3.51
Zn 0.0000 0.0000 0.5000  8 Pb 3.06, 4 Zn 3.41
Pb 0.5000 0.5000 0.2876  4 Zn 3.06, 4 Pb 3.41
Pb 0.5000 0.5000 0.7124  4 Zn 3.06, 4 Pb 3.41

***

Entry 9:
MgReOs2: relaxed, GGA-PBEsol.

Output
Uncorrected energy = -9.69 eV/atom
Formation energy from the elements = 0.176 eV per atom

Lattice parameters (Å, degrees): 2.7947 2.7947 7.6045 90.00 90.00 90.00
Closest atoms and distances in Å follow each position.
Atoms (fractional coordinates):
Mg 0.0000 0.0000 0.0000  4 Mg 2.79, 8 Os 2.82
Re 0.0000 0.0000 0.5000  8 Os 2.67, 4 Re 2.79
Os 0.5000 0.5000 0.2647  4 Re 2.67, 4 Os 2.79, 4 Mg 2.82
Os 0.5000 0.5000 0.7353  4 Re 2.67, 4 Os 2.79, 4 Mg 2.82

***

Entry 10:
SrCaP: relaxed, GGA-PBEsol.

Output
Uncorrected energy = -4.09 eV/atom
Formation energy from the elements = -0.831 eV per atom

Lattice parameters (Å, degrees): 4.2711 4.2711 7.0967 90.00 90.00 120.00
Closest atoms and distances in Å follow each position.
Atoms (fractional coordinates):
Sr 0.0000 0.0000 0.0000  3 P 2.96
Ca 0.6667 0.3333 0.4245  3 P 2.82
P 0.3333 0.6667 0.2314  3 Ca 2.82, 3 Sr 2.96

***

Entry 11:
LaReIN2: relaxed, GGA-PBEsol.

Output
Uncorrected energy = -7.38 eV/atom
Formation energy (no corrections) = 0.1192 eV/atom

Lattice parameters (Å, degrees): 4.0993 4.0993 5.3074 90.00 90.00 90.00
Closest atoms and distances in Å follow each position.
Atoms (fractional coordinates):
La 0.0000 0.0000 0.0000  4 I 2.90
Re 0.5000 0.5000 0.5000  4 N 2.05
I 0.5000 0.5000 0.0000  2 Re 2.65, 4 La 2.90
N 0.0000 0.5000 0.5000  2 Re 2.05
N 0.5000 0.0000 0.5000  2 Re 2.05

***

Entry 12:
Y2TlGa: relaxed, GGA-PBEsol.

Output
Uncorrected energy = -5.42 eV/atom
Formation energy from the elements = -0.519 eV per atom

Lattice parameters (Å, degrees): 5.1446 5.1446 5.1446 60.00 60.00 60.00
Closest atoms and distances in Å follow each position.
Atoms (fractional coordinates):
Y 0.2500 0.2500 0.2500  4 Tl 3.15, 4 Ga 3.15
Y 0.7500 0.7500 0.7500  4 Tl 3.15, 4 Ga 3.15
Tl 0.0000 0.0000 0.0000  8 Y 3.15
Ga 0.5000 0.5000 0.5000  8 Y 3.15